Record 1
Below is a geometry-optimized V12Ge3Ir structure, with properties calculated at the GGA-PBE level.

Output
Total energy in eV per formula unit: -138.1
Formation energy from the elements in eV/f.u.: -6.0
Symmetry: Pmmm, No. 47
N(E_F) in states/eV per cell: 18.8

Geometry as extended XYZ:
```
16
Lattice="-4.072 0.637 -2.390 -1.500 -4.283 1.415 -3.937 3.942 7.758" Properties=species:S:1:pos:R:3 pbc="T T T"
V -3.531 1.814 1.749
V -5.464 3.750 5.558
V -3.787 -1.667 -1.075
V -5.779 0.308 2.790
V -2.113 -2.228 3.006
V -4.077 -0.262 6.876
V -2.546 0.829 -0.191
V -4.479 2.764 3.618
V -1.786 -1.980 0.099
V -3.731 -0.013 3.992
V -1.361 -0.080 2.297
V -3.324 1.886 6.166
Ge -3.763 -0.845 1.436
Ge -5.747 1.141 5.346
Ge 0.000 0.000 0.000
Ir -1.969 1.971 3.879
```

Record 2
Below is a geometry-optimized BaNpBr6 structure, with properties calculated at the GGA-PBE level.

Output
Total energy in eV per formula unit: -37.5
Uncorrected formation energy in kJ/mol of formula units: -1215
Symmetry: P-1, No. 2
N(E_F) in states/eV per cell: 4.8

Geometry as extended XYZ:
```
8
Lattice="-0.848 -0.363 7.340 0.320 -6.539 3.440 6.612 -1.544 4.419" Properties=species:S:1:pos:R:3 pbc="T T T"
Ba 3.042 -4.223 7.600
Np 0.000 0.000 0.000
Br 5.158 -3.805 5.129
Br 4.429 -1.803 9.323
Br 1.097 -1.987 6.195
Br 1.656 -6.643 5.876
Br 0.927 -4.641 10.071
Br 4.988 -6.458 9.004
```

Record 3
Below is a geometry-optimized CeHoTe structure, with properties calculated at the GGA-PBE level.

Output
Total energy in eV per formula unit: -15.7
Uncorrected formation energy in kJ/mol of formula units: -196
Symmetry: I4mm, No. 107
N(E_F) in states/eV per cell: 7.4
Energy relative to the lowest polymorph listed for this composition in meV/atom: 185

Geometry as extended XYZ:
```
3
Lattice="-3.089 -2.388 0.119 1.186 -1.699 -3.311 4.037 -1.795 4.672" Properties=species:S:1:pos:R:3 pbc="T T T"
Te 0.135 -3.396 -0.513
Ho 1.938 -2.412 1.932
Ce 0.060 -0.075 0.060
```

Record 4
Below is a geometry-optimized TmLuIn2 structure, with properties calculated at the GGA-PBE level.

Output
Total energy in eV per formula unit: -16.1
Formation energy from the elements in eV/f.u.: -1.6
Symmetry: Fm-3m, No. 225
N(E_F) in states/eV per cell: 2.1
Energy relative to the lowest polymorph listed for this composition in meV/atom: 0

Geometry as extended XYZ:
```
4
Lattice="5.249 0.000 0.000 2.625 4.546 0.000 2.625 1.515 4.286" Properties=species:S:1:pos:R:3 pbc="T T T"
Lu 5.249 3.031 2.143
Tm 0.000 0.000 0.000
In 2.625 1.515 1.071
In 7.874 4.546 3.214
```

Record 5
Below is a geometry-optimized Ho4CoRu structure, with properties calculated at the GGA-PBE level.

Output
Total energy in eV per formula unit: -35.9
Formation energy from the elements in eV/f.u.: -1.2
Symmetry: C2/c, No. 15
N(E_F) in states/eV per cell: 8.7
Energy relative to the lowest polymorph listed for this composition in meV/atom: 77

Geometry as extended XYZ:
```
12
Lattice="-0.852 -4.750 4.493 6.484 -1.935 0.477 -1.828 7.883 2.503" Properties=species:S:1:pos:R:3 pbc="T T T"
Ho 1.685 -0.159 0.349
Ho 4.488 -3.627 2.950
Ho 1.663 2.252 2.844
Ho 2.141 -1.055 4.628
Ho 4.785 0.733 2.477
Ho -0.683 4.824 4.522
Ho -0.981 0.464 4.995
Ho 2.120 1.357 7.124
Co 3.217 -1.293 2.309
Co 0.588 2.490 5.163
Ru 4.183 3.564 2.789
Ru -0.378 -2.367 4.684
```

Record 6
Below is a geometry-optimized Sr2TlRh structure, with properties calculated at the GGA-PBE level.

Output
Total energy in eV per formula unit: -13.7
Formation energy from the elements in eV/f.u.: -0.6
Symmetry: Fm-3m, No. 225
N(E_F) in states/eV per cell: 3.3
Energy relative to the lowest polymorph listed for this composition in meV/atom: 131

Geometry as extended XYZ:
```
4
Lattice="0.000 3.851 3.851 3.851 0.000 3.851 3.851 3.851 0.000" Properties=species:S:1:pos:R:3 pbc="T T T"
Sr 1.925 1.925 1.925
Sr 5.776 5.776 5.776
Tl 3.851 3.851 3.851
Rh 0.000 0.000 0.000
```

Record 7
Below is a geometry-optimized Ac2PaN3 structure, with properties calculated at the GGA-PBE level.

Output
Total energy in eV per formula unit: -50.4
Uncorrected formation energy in kJ/mol of formula units: -747
Symmetry: C2/c, No. 15
N(E_F) in states/eV per cell: 6.3
Energy relative to the lowest polymorph listed for this composition in meV/atom: 36

Geometry as extended XYZ:
```
12
Lattice="5.352 0.000 0.000 0.000 7.322 0.000 -2.676 -1.834 5.740" Properties=species:S:1:pos:R:3 pbc="T T T"
Ac 2.684 3.661 1.915
Ac 2.669 0.000 1.915
Ac 0.008 5.488 3.825
Ac -0.008 1.827 3.825
Pa 5.295 5.491 0.000
Pa 0.057 1.830 0.000
N 2.415 1.830 0.000
N 2.937 5.491 0.000
N -0.011 -0.001 1.471
N 2.665 1.828 4.270
N 0.011 3.660 1.470
N 2.687 5.489 4.270
```

Record 8
Below is a geometry-optimized Tl2SbPb structure, with properties calculated at the GGA-PBE level.

Output
Total energy in eV per formula unit: -12.4
Uncorrected formation energy in kJ/mol of formula units: 15
Symmetry: C2/m, No. 12
N(E_F) in states/eV per cell: 1.9
Energy relative to the lowest polymorph listed for this composition in meV/atom: 41

Geometry as extended XYZ:
```
4
Lattice="-3.133 0.725 -1.271 1.273 -3.240 -4.988 -0.792 -4.548 4.063" Properties=species:S:1:pos:R:3 pbc="T T T"
Pb -1.566 0.363 -0.635
Sb 0.637 -1.620 -2.494
Tl -0.874 -2.943 0.475
Tl -1.779 -4.120 -2.670
```